Compound: Tb4Tm2Tl
Source: Alexandria via LeMat-Bulk
Functional: GGA-PBE
Structure: relaxed

a b c (Å): 5.6200 6.7550 11.7622
angles (deg): 90.00 105.20 90.00
Closest atoms and distances in Å follow each position.
Sites, in units of the cell vectors:
Tb1 0.6271 0.4890 0.2942  5 Tb 3.23-3.59, 1 Tl 3.39, 3 Tm 3.52-3.61
Tb2 0.9741 0.7500 0.8569  3 Tl 3.21-3.43, 3 Tm 3.33-3.41, 2 Tb 3.59
Tb3 0.0259 0.2500 0.1431  3 Tl 3.21-3.43, 3 Tm 3.33-3.41, 2 Tb 3.59
Tb4 0.6271 0.0110 0.2942  5 Tb 3.23-3.59, 1 Tl 3.39, 3 Tm 3.52-3.61
Tb5 0.8082 0.2500 0.5885  1 Tl 3.13, 4 Tm 3.27-3.39
Tb6 0.3729 0.9890 0.7058  5 Tb 3.23-3.59, 1 Tl 3.39, 3 Tm 3.52-3.61
Tb7 0.3729 0.5110 0.7058  5 Tb 3.23-3.59, 1 Tl 3.39, 3 Tm 3.52-3.61
Tb8 0.1918 0.7500 0.4115  1 Tl 3.13, 4 Tm 3.27-3.39
Tm1 0.5729 0.7500 0.0212  2 Tl 3.09-3.14, 2 Tb 3.33-3.41
Tm2 0.4271 0.2500 0.9788  2 Tl 3.09-3.14, 2 Tb 3.33-3.41
Tm3 0.2215 0.2500 0.4378  9 Tb 3.27-3.56
Tm4 0.7785 0.7500 0.5622  9 Tb 3.27-3.56
Tl1 0.1320 0.7500 0.1394  2 Tm 3.09-3.14, 6 Tb 3.13-3.43
Tl2 0.8680 0.2500 0.8606  2 Tm 3.09-3.14, 6 Tb 3.13-3.43

As for the formation energy: 0.00 eV/atom. As for the energy above the most stable polymorph in this dataset: 0.371 eV/f.u. The space group is P2_1/m (11).